Compound: MgAl2H8
Source: Alexandria
Functional: PBE
Structure: relaxed

Output
- Electronic total energy: -3.309 eV per atom
- Total moment: 0.000 μB/f.u.

```
data_MgAl2H8
_cell_length_a 5.1858
_cell_length_b 5.1858
_cell_length_c 5.7699
_cell_angle_alpha 90.00
_cell_angle_beta 90.00
_cell_angle_gamma 120.00
_space_group_name_H-M_alt 'P -3 m 1'
_space_group_IT_number 164
_space_group_name_Hall '-P 3 2"'
loop_
_atom_site_label
_atom_site_type_symbol
_atom_site_fract_x
_atom_site_fract_y
_atom_site_fract_z
Mg1 Mg 0.0000 0.0000 0.0000
Al1 Al 0.3333 0.6667 0.6952
H1 H 0.1667 0.3333 0.8026
H2 H 0.3333 0.6667 0.4171
```